No. 1
Computed, not measured: crystalline AcH6Pt2 at its relaxed geometry at the PBE-GGA level of DFT.

Values from the calculation:
The value obtained for the uncorrected energy is -4.3639 eV per atom. Its crystal system is monoclinic. Its space-group type is No. 15.

Lattice parameters (Å, degrees): 6.304 6.304 6.623 112.67 112.67 90.26
Sites, in units of the cell vectors:
Ac: 0.167 0.833 0.750
Ac: 0.833 0.167 0.250
H: 0.003 0.337 0.718
H: 0.214 0.310 0.055
H: 0.310 0.214 0.555
H: 0.330 0.580 0.444
H: 0.337 0.003 0.218
H: 0.420 0.670 0.056
H: 0.580 0.330 0.944
H: 0.663 0.997 0.782
H: 0.670 0.420 0.556
H: 0.690 0.786 0.445
H: 0.786 0.690 0.945
H: 0.997 0.663 0.282
Pt: 0.283 0.332 0.827
Pt: 0.332 0.283 0.327
Pt: 0.668 0.717 0.673
Pt: 0.717 0.668 0.173

No. 2
Computed, not measured: crystalline AcGdIrRu at its relaxed geometry at the PBE-GGA level of DFT.

Values from the calculation:
Its crystal system is cubic. Its space-group type is No. 216. The calculation puts the energy of formation at -26.46 kJ/mol of atoms.

Lattice parameters (Å, degrees): 5.055 5.055 5.055 60.00 60.00 60.00
Sites, in units of the cell vectors:
Ac: 0.000 0.000 0.000
Gd: 0.500 0.500 0.500
Ir: 0.250 0.250 0.250
Ru: 0.750 0.750 0.750

No. 3
Computed, not measured: crystalline Dy8Ho3Er3 at its relaxed geometry at the PBE-GGA level of DFT.

Values from the calculation:
Its crystal system is orthorhombic. Its space-group type is No. 71. The calculation puts the energy of formation at 11.21 kJ/mol of atoms.

Lattice parameters (Å, degrees): 9.533 9.533 9.533 146.06 111.81 78.39
Sites, in units of the cell vectors:
Dy: 0.055 0.396 0.659
Dy: 0.064 0.222 0.842
Dy: 0.263 0.604 0.659
Dy: 0.381 0.222 0.158
Dy: 0.619 0.778 0.842
Dy: 0.737 0.396 0.341
Dy: 0.936 0.778 0.158
Dy: 0.945 0.604 0.341
Ho: 0.319 0.819 0.500
Ho: 0.500 0.500 0.000
Ho: 0.681 0.181 0.500
Er: 0.000 0.000 0.000
Er: 0.298 0.000 0.298
Er: 0.702 0.000 0.702

No. 4
Computed, not measured: crystalline ScCoB2 at its relaxed geometry at the PBE-GGA level of DFT.

Values from the calculation:
Its crystal system is orthorhombic. As for the energy above the most stable polymorph in this dataset: 0.3831 eV/atom. Its space-group type is No. 38. The calculation puts the energy of formation at -29.09 kJ/mol of atoms.

Lattice parameters (Å, degrees): 3.251 3.811 3.811 78.67 90.00 90.00
Sites, in units of the cell vectors:
Sc: 0.000 0.000 0.000
Co: 0.500 0.385 0.385
B: 0.500 0.530 0.872
B: 0.500 0.872 0.530

No. 5
Computed, not measured: crystalline In2HgHPd6 at its relaxed geometry at the PBE-GGA level of DFT.

Values from the calculation:
The value obtained for the uncorrected energy is -4.2812 eV per atom. Its crystal system is triclinic. Its space-group type is No. 1.

Lattice parameters (Å, degrees): 5.539 5.553 6.839 73.82 66.38 60.62
Sites, in units of the cell vectors:
In: 0.000 0.000 0.000
In: 0.488 0.647 0.537
Hg: 0.742 0.827 0.768
H: 0.230 0.347 0.234
Pd: 0.097 0.656 0.371
Pd: 0.391 0.990 0.168
Pd: 0.494 0.465 0.961
Pd: 0.585 0.162 0.403
Pd: 0.900 0.487 0.134
Pd: 0.997 0.183 0.576

No. 6
Computed, not measured: crystalline KTlIn2Sn at its relaxed geometry at the PBE-GGA level of DFT.

Values from the calculation:
Its crystal system is orthorhombic. Its space-group type is No. 44. The calculation puts the energy of formation at -9.56 kJ/mol of atoms.

Lattice parameters (Å, degrees): 7.380 7.380 7.380 140.35 139.98 57.60
Sites, in units of the cell vectors:
K: 0.000 0.000 0.000
Tl: 0.609 0.609 0.000
In: 0.382 0.382 0.000
In: 0.751 0.251 0.500
Sn: 0.251 0.751 0.500

No. 7
Computed, not measured: crystalline Sm6NpSe12 at its relaxed geometry at the PBE-GGA level of DFT.

Values from the calculation:
Its crystal system is trigonal. Its formation energy without anion corrections is -1613 meV/atom. Its space-group type is No. 148.

Lattice parameters (Å, degrees): 8.324 8.324 8.324 98.78 98.78 98.78
Sites, in units of the cell vectors:
Sm: 0.139 0.822 0.643
Sm: 0.178 0.357 0.861
Sm: 0.357 0.861 0.178
Sm: 0.643 0.139 0.822
Sm: 0.822 0.643 0.139
Sm: 0.861 0.178 0.357
Np: 0.500 0.500 0.500
Se: 0.076 0.922 0.324
Se: 0.078 0.676 0.924
Se: 0.178 0.431 0.522
Se: 0.324 0.076 0.922
Se: 0.431 0.522 0.178
Se: 0.478 0.822 0.569
Se: 0.522 0.178 0.431
Se: 0.569 0.478 0.822
Se: 0.676 0.924 0.078
Se: 0.822 0.569 0.478
Se: 0.922 0.324 0.076
Se: 0.924 0.078 0.676

No. 8
Computed, not measured: crystalline Mg14MnBi at its relaxed geometry at the PBE-GGA level of DFT.

Values from the calculation:
Its crystal system is hexagonal. As for the energy above the most stable polymorph in this dataset: 0.0000 eV/atom. Its space-group type is No. 187. The calculation puts the energy of formation at 3.12 kJ/mol of atoms.

Lattice parameters (Å, degrees): 6.383 6.383 10.246 90.00 90.00 120.00
Sites, in units of the cell vectors:
Mg: 0.000 0.000 0.249
Mg: 0.000 0.000 0.751
Mg: 0.004 0.502 0.262
Mg: 0.004 0.502 0.738
Mg: 0.331 0.165 0.500
Mg: 0.335 0.168 0.000
Mg: 0.498 0.502 0.262
Mg: 0.498 0.502 0.738
Mg: 0.498 0.996 0.262
Mg: 0.498 0.996 0.738
Mg: 0.832 0.168 0.000
Mg: 0.832 0.665 0.000
Mg: 0.835 0.165 0.500
Mg: 0.835 0.669 0.500
Mn: 0.333 0.667 0.500
Bi: 0.333 0.667 0.000

No. 9
Computed, not measured: crystalline BaTl4Pt at its relaxed geometry at the PBE-GGA level of DFT.

Values from the calculation:
Its crystal system is cubic. Its space-group type is No. 216. The calculation puts the energy of formation at 8.08 kJ/mol of atoms.

Lattice parameters (Å, degrees): 6.354 6.354 6.354 60.00 60.00 60.00
Sites, in units of the cell vectors:
Ba: 0.000 0.000 0.000
Tl: 0.376 0.376 0.376
Tl: 0.376 0.376 0.871
Tl: 0.376 0.871 0.376
Tl: 0.871 0.376 0.376
Pt: 0.750 0.750 0.750

No. 10
Computed, not measured: crystalline VGeIr3 at its relaxed geometry at the PBE-GGA level of DFT.

Values from the calculation:
Its crystal system is cubic. As for the energy above the most stable polymorph in this dataset: 0.0000 eV/atom. Its space-group type is No. 221. The calculation puts the energy of formation at 104.10 kJ/mol of atoms.

Lattice parameters (Å, degrees): 4.521 4.521 4.521 90.00 90.00 90.00
Sites, in units of the cell vectors:
V: 0.000 0.000 0.000
Ge: 0.500 0.500 0.500
Ir: 0.000 0.500 0.500
Ir: 0.500 0.000 0.500
Ir: 0.500 0.500 0.000

No. 11
Computed, not measured: crystalline NaCo2Ge at its relaxed geometry at the PBE-GGA level of DFT.

Values from the calculation:
Its crystal system is tetragonal. Its space-group type is No. 122. The calculation puts the energy of formation at 49.61 kJ/mol of atoms.

Lattice parameters (Å, degrees): 8.827 8.827 8.827 152.06 152.06 39.92
Sites, in units of the cell vectors:
Na: 0.000 0.000 0.000
Na: 0.750 0.250 0.500
Co: 0.290 0.125 0.665
Co: 0.375 0.710 0.835
Co: 0.460 0.625 0.335
Co: 0.875 0.540 0.165
Ge: 0.250 0.750 0.500
Ge: 0.500 0.500 0.000

No. 12
Computed, not measured: crystalline Pr2Dy at its relaxed geometry at the PBE-GGA level of DFT.

Values from the calculation:
Its crystal system is tetragonal. As for the energy above the most stable polymorph in this dataset: 0.0000 eV/atom. Its space-group type is No. 139. The calculation puts the energy of formation at 2.22 kJ/mol of atoms.

Lattice parameters (Å, degrees): 8.169 8.169 8.169 154.06 154.06 37.01
Sites, in units of the cell vectors:
Pr: 0.164 0.164 0.000
Pr: 0.836 0.836 0.000
Dy: 0.500 0.500 0.000

No. 13
Computed, not measured: crystalline USnPd at its relaxed geometry at the PBE-GGA level of DFT.

Values from the calculation:
Its crystal system is hexagonal. Its space-group type is No. 194. The calculation puts the energy of formation at -40.38 kJ/mol of atoms.

Lattice parameters (Å, degrees): 4.983 4.983 5.798 90.00 90.00 120.00
Sites, in units of the cell vectors:
U: 0.000 0.000 0.000
U: 0.000 0.000 0.500
Sn: 0.333 0.667 0.250
Sn: 0.667 0.333 0.750
Pd: 0.333 0.667 0.750
Pd: 0.667 0.333 0.250

No. 14
Computed, not measured: crystalline Li5Th2Cu12 at its relaxed geometry at the PBE-GGA level of DFT.

Values from the calculation:
Its crystal system is trigonal. Its space-group type is No. 166. The calculation puts the energy of formation at -8.23 kJ/mol of atoms.

Lattice parameters (Å, degrees): 6.580 6.580 6.580 82.57 82.57 82.57
Sites, in units of the cell vectors:
Li: 0.000 0.000 0.500
Li: 0.000 0.500 0.000
Li: 0.091 0.091 0.091
Li: 0.500 0.000 0.000
Li: 0.909 0.909 0.909
Th: 0.357 0.357 0.357
Th: 0.643 0.643 0.643
Cu: 0.000 0.302 0.698
Cu: 0.000 0.698 0.302
Cu: 0.157 0.657 0.657
Cu: 0.302 0.000 0.698
Cu: 0.302 0.698 0.000
Cu: 0.343 0.343 0.843
Cu: 0.343 0.843 0.343
Cu: 0.657 0.157 0.657
Cu: 0.657 0.657 0.157
Cu: 0.698 0.000 0.302
Cu: 0.698 0.302 0.000
Cu: 0.843 0.343 0.343

No. 15
Computed, not measured: crystalline NaPm2Co at its relaxed geometry at the PBE-GGA level of DFT.

Values from the calculation:
Its crystal system is tetragonal. As for the energy above the most stable polymorph in this dataset: 0.0325 eV/atom. Its space-group type is No. 123. The calculation puts the energy of formation at 3.67 kJ/mol of atoms.

Lattice parameters (Å, degrees): 3.454 3.454 9.484 90.00 90.00 90.00
Sites, in units of the cell vectors:
Na: 0.000 0.000 0.000
Pm: 0.500 0.500 0.326
Pm: 0.500 0.500 0.674
Co: 0.000 0.000 0.500

No. 16
Computed, not measured: crystalline NdTe2P2Pt7 at its relaxed geometry at the PBE-GGA level of DFT.

Values from the calculation:
Its crystal system is tetragonal. Its formation energy without anion corrections is -619 meV/atom. Its space-group type is No. 139.

Lattice parameters (Å, degrees): 14.863 14.863 14.863 164.39 164.39 22.14
Sites, in units of the cell vectors:
Nd: 0.000 0.000 0.000
Te: 0.208 0.208 0.000
Te: 0.792 0.792 0.000
P: 0.379 0.379 0.000
P: 0.621 0.621 0.000
Pt: 0.078 0.578 0.500
Pt: 0.301 0.301 0.000
Pt: 0.422 0.922 0.500
Pt: 0.500 0.500 0.000
Pt: 0.578 0.078 0.500
Pt: 0.699 0.699 0.000
Pt: 0.922 0.422 0.500

No. 17
Computed, not measured: crystalline ZrSc at its relaxed geometry at the PBE-GGA level of DFT.

Values from the calculation:
Its crystal system is orthorhombic. Its space-group type is No. 71. The calculation puts the energy of formation at 41.71 kJ/mol of atoms.

Lattice parameters (Å, degrees): 4.275 4.275 4.275 138.52 103.90 90.60
Sites, in units of the cell vectors:
Zr: 0.000 0.000 0.000
Sc: 0.500 0.500 0.000

No. 18
Computed, not measured: crystalline TiSnC2 at its relaxed geometry at the PBE-GGA level of DFT.

Values from the calculation:
Its crystal system is tetragonal. Its space-group type is No. 122. The calculation puts the energy of formation at 39.42 kJ/mol of atoms.

Lattice parameters (Å, degrees): 6.005 6.005 6.005 131.50 131.50 71.02
Sites, in units of the cell vectors:
Ti: 0.000 0.000 0.000
Ti: 0.750 0.250 0.500
Sn: 0.250 0.750 0.500
Sn: 0.500 0.500 0.000
C: 0.101 0.625 0.976
C: 0.375 0.351 0.476
C: 0.649 0.125 0.024
C: 0.875 0.899 0.524

No. 19
Computed, not measured: crystalline MnGe3Se at its relaxed geometry at the PBE-GGA level of DFT.

Values from the calculation:
Its crystal system is cubic. Its formation energy without anion corrections is 138 meV/atom. As for the energy above the most stable polymorph in this dataset: 0.0000 eV/atom. Its space-group type is No. 221.

Lattice parameters (Å, degrees): 4.597 4.597 4.597 90.00 90.00 90.00
Sites, in units of the cell vectors:
Mn: 0.000 0.000 0.000
Ge: 0.000 0.000 0.500
Ge: 0.000 0.500 0.000
Ge: 0.500 0.000 0.000
Se: 0.500 0.500 0.500

No. 20
Computed, not measured: crystalline K2LiTaO4 at its relaxed geometry at the PBE-GGA level of DFT.

Values from the calculation:
Its crystal system is tetragonal. Its formation energy without anion corrections is -2320 meV/atom. Its space-group type is No. 82.

Lattice parameters (Å, degrees): 5.801 5.801 5.801 119.89 119.89 90.19
Sites, in units of the cell vectors:
K: 0.000 0.000 0.000
K: 0.750 0.250 0.500
Li: 0.500 0.500 0.000
Ta: 0.250 0.750 0.500
O: 0.238 0.107 0.590
O: 0.352 0.762 0.868
O: 0.516 0.648 0.410
O: 0.893 0.484 0.132

No. 21
Computed, not measured: crystalline GaSiPt4 at its relaxed geometry at the PBE-GGA level of DFT.

Values from the calculation:
Its crystal system is monoclinic. Its formation energy without anion corrections is -501 meV/atom. As for the energy above the most stable polymorph in this dataset: 0.0668 eV/atom. Its space-group type is No. 14.

Lattice parameters (Å, degrees): 7.452 5.700 4.503 90.00 92.81 90.00
Sites, in units of the cell vectors:
Ga: 0.000 0.000 0.000
Ga: 0.000 0.500 0.500
Si: 0.500 0.000 0.500
Si: 0.500 0.500 0.000
Pt: 0.184 0.105 0.514
Pt: 0.184 0.395 0.014
Pt: 0.337 0.617 0.524
Pt: 0.337 0.883 0.024
Pt: 0.663 0.117 0.976
Pt: 0.663 0.383 0.476
Pt: 0.816 0.605 0.986
Pt: 0.816 0.895 0.486

No. 22
Computed, not measured: crystalline Li2BrCl at its relaxed geometry at the PBE-GGA level of DFT.

Values from the calculation:
Its crystal system is trigonal. Its formation energy without anion corrections is -1568 meV/atom. As for the energy above the most stable polymorph in this dataset: 0.1142 eV/atom. Its space-group type is No. 160.

Lattice parameters (Å, degrees): 8.996 8.996 8.996 26.25 26.25 26.25
Sites, in units of the cell vectors:
Li: 0.000 0.000 0.000
Li: 0.169 0.169 0.169
Br: 0.484 0.484 0.484
Cl: 0.659 0.659 0.659

No. 23
Computed, not measured: crystalline La2AlCr at its relaxed geometry at the PBE-GGA level of DFT.

Values from the calculation:
Its crystal system is trigonal. Its space-group type is No. 160. The calculation puts the energy of formation at 40.56 kJ/mol of atoms.

Lattice parameters (Å, degrees): 9.105 9.105 9.105 23.15 23.15 23.15
Sites, in units of the cell vectors:
La: 0.000 0.000 0.000
La: 0.212 0.212 0.212
Al: 0.457 0.457 0.457
Cr: 0.740 0.740 0.740

no.,total magnetic moment (μB per cell)
1,0.000
2,6.900
3,0.000
4,0.000
5,0.000
6,0.000
7,0.928
8,3.391
9,0.000
10,2.093
11,4.932
12,0.000
13,5.990
14,0.000
15,0.607
16,0.000
17,0.002
18,0.000
19,0.917
20,0.002
21,0.000
22,0.000
23,0.000